# 1
Entry from Alexandria: Pr3NiIr2 after structural relaxation (PBE-GGA).

Unit cell a=4.183 b=11.742 c=11.672 alpha=90.00 beta=90.00 gamma=90.00
Fractional positions:
Ir 0.750 0.314 0.521
Ir 0.750 0.988 0.685
Ir 0.750 0.186 0.021
Ir 0.250 0.814 0.979
Ir 0.250 0.488 0.815
Ir 0.250 0.012 0.315
Ir 0.750 0.512 0.185
Ir 0.250 0.686 0.479
Ni 0.750 0.630 0.373
Ni 0.750 0.870 0.873
Ni 0.250 0.370 0.627
Ni 0.250 0.130 0.127
Pr 0.250 0.693 0.206
Pr 0.750 0.307 0.794
Pr 0.750 0.877 0.446
Pr 0.750 0.941 0.120
Pr 0.250 0.123 0.554
Pr 0.750 0.193 0.294
Pr 0.250 0.059 0.880
Pr 0.750 0.623 0.946
Pr 0.250 0.377 0.054
Pr 0.750 0.559 0.620
Pr 0.250 0.441 0.380
Pr 0.250 0.807 0.706

Summary:
The calculation puts the formation energy at -527 meV/atom.

# 2
Entry from Alexandria: V3CdGa after structural relaxation (PBE-GGA).

Unit cell a=4.848 b=4.848 c=4.848 alpha=90.00 beta=90.00 gamma=90.00
Last column: magnetic moment on the atom in μB.
Fractional positions:
Ga 0.500 0.500 0.500  -0.12
V 0.000 0.000 0.500  1.73
V 0.000 0.500 0.000  1.73
V 0.500 0.000 0.000  1.73
Cd 0.000 0.000 0.000  0.03

Summary:
The calculation puts the formation energy at 1769 meV/atom.

# 3
Entry from Alexandria: TeCSe2 after structural relaxation (PBE-GGA).

Unit cell a=4.770 b=4.770 c=4.770 alpha=60.00 beta=60.00 gamma=60.00
Fractional positions:
Te 0.500 0.500 0.500
Se 0.250 0.250 0.250
Se 0.750 0.750 0.750
C 0.000 0.000 0.000

Summary:
The value obtained for the formation energy without anion corrections is 1.699 eV/atom.

# 4
Entry from Alexandria: LiLaSe2 after structural relaxation (PBE-GGA).

Unit cell a=3.688 b=3.688 c=7.254 alpha=90.00 beta=90.00 gamma=90.00
Fractional positions:
Se 0.000 0.000 0.495
Se 0.000 0.000 0.005
Li 0.500 0.500 0.750
La 0.500 0.500 0.250

Summary:
The value obtained for the formation energy without anion corrections is -1.433 eV/atom.

# 5
Entry from Alexandria: KSrNi after structural relaxation (PBE-GGA).

Unit cell a=4.195 b=4.195 c=15.966 alpha=90.00 beta=89.98 gamma=60.00
Last column: magnetic moment on the atom in μB.
Fractional positions:
Ni 0.961 0.311 0.291  0.18
Ni 0.628 0.978 0.291  0.18
Sr 0.295 0.644 0.168  -0.01
Sr 0.295 0.644 0.414  -0.01
K 0.963 0.314 0.919  0.00
K 0.630 0.980 0.662  0.00

Summary:
The calculation puts the formation energy at -37 meV/atom.

# 6
Entry from Alexandria: LiRe2Ir after structural relaxation (PBE-GGA).

Unit cell a=3.226 b=3.226 c=5.371 alpha=90.00 beta=90.00 gamma=90.00
Fractional positions:
Li 0.500 0.500 0.750
Re 0.000 0.000 0.521
Re 0.000 0.000 0.979
Ir 0.500 0.500 0.250

Summary:
The calculation puts the formation energy at 434 meV/atom.

# 7
Entry from Alexandria: Sn2HgMo after structural relaxation (PBE-GGA).

Unit cell a=8.484 b=8.484 c=6.653 alpha=50.39 beta=50.39 gamma=90.00
Last column: magnetic moment on the atom in μB.
Fractional positions:
Sn 0.557 0.125 0.250  -0.03
Sn 0.375 0.443 0.750  -0.03
Sn 0.875 0.807 0.750  -0.04
Sn 0.193 0.625 0.250  -0.03
Mo 0.250 0.750 0.500  0.77
Mo 0.500 0.500 0.000  0.77
Hg 0.000 0.000 0.000  -0.01
Hg 0.750 0.250 0.500  -0.01

Summary:
The calculation puts the formation energy at 645 meV/atom.

# 8
Entry from Alexandria: AcTa2CdO8 after structural relaxation (PBE-GGA).

Unit cell a=6.075 b=6.075 c=7.042 alpha=90.00 beta=90.00 gamma=120.00
Last column: magnetic moment on the atom in μB.
Fractional positions:
O 0.667 0.333 0.543  0.14
O 0.841 0.159 0.223  0.12
O 0.319 0.159 0.223  0.12
O 0.159 0.319 0.777  0.12
O 0.681 0.841 0.777  0.12
O 0.841 0.681 0.223  0.12
O 0.159 0.841 0.777  0.12
O 0.333 0.667 0.457  0.14
Cd 0.000 0.000 0.000  0.03
Ac 0.000 0.000 0.500  0.00
Ta 0.333 0.667 0.716  -0.03
Ta 0.667 0.333 0.284  -0.03

Summary:
The value obtained for the formation energy without anion corrections is -2.377 eV/atom.

What are the spin magnetization values for these records? In order: 0.00; 5.61; 0.00; 0.00; 0.31; 0.00; 1.52; 1.12 Bohr magnetons per cell.
What are the uncorrected energy values for these records? In order: -6.834; -4.491; -3.135; -4.886; -2.890; -8.484; -4.140; -8.076 eV/atom.